AcNdZr: optimized geometry, PBE.

The space group is I4mm (No. 107) and the conventional cell measures 3.572, 3.572 and 15.566 Å, with angles of 90.00, 90.00 and 90.00 degrees. The inequivalent atoms are Ac at (0.000, 0.000, 0.000), Nd at (0.000, 0.000, 0.306) and Zr at (0.000, 0.000, 0.661).

The value obtained for the energy above the most stable polymorph in this dataset is 5.1 kJ per mole of atoms. Its formation energy is 197.0 meV/atom. The calculation puts the density of states at the Fermi level at 4.11 states/eV/f.u. For the total energy, the calculation gives -5.611 eV per atom.